[1]
A plane-wave DFT calculation with PBE-GGA was carried out for a relaxed ThSiAu3 crystal.

Uncorrected formation energy (eV per atom): -0.518
DFT total energy (eV/atom): -5.05
D(E_F) (states/eV/atom): 0.6240
Crystal system: monoclinic

Lattice parameters (Å, degrees): 4.4303 4.4300 6.1420 68.80 68.80 90.05
Last column: nearest neighbours and their distance in Å.
Fractional coordinates of all 5 atoms:
Th: 0.4020 0.2055 0.9008  12 Au 3.29-3.59, 4 Si 3.39-3.42
Si: 0.0312 0.8346 0.6490  5 Au 2.36-2.50
Au: 0.6392 0.9373 0.4324  2 Si 2.49-2.50
Au: 0.1337 0.4426 0.4323  2 Si 2.49-2.50
Au: 0.8017 0.6053 0.0966  1 Si 2.36



[2]
A plane-wave DFT calculation with PBE-GGA was carried out for a relaxed Th3Si3Au2 crystal.

Uncorrected formation energy (eV per atom): -0.694
DFT total energy (eV/atom): -6.33
D(E_F) (states/eV/atom): 0.8170
Crystal system: orthorhombic

Lattice parameters (Å, degrees): 4.2534 5.9725 15.4793 90.00 90.00 110.86
Last column: nearest neighbours and their distance in Å.
Fractional coordinates of all 16 atoms:
Th: 0.8636 0.7272 0.4032  4 Au 3.16-3.28, 7 Si 3.22-3.30
Th: 0.1364 0.2728 0.9032  4 Au 3.16-3.28, 7 Si 3.22-3.30
Th: 0.8636 0.7272 0.0968  4 Au 3.16-3.28, 7 Si 3.22-3.30
Th: 0.1364 0.2728 0.5968  4 Au 3.16-3.28, 7 Si 3.22-3.30
Th: 0.5665 0.1330 0.2500  5 Si 3.00-3.34, 4 Au 3.15
Th: 0.4335 0.8670 0.7500  5 Si 3.00-3.34, 4 Au 3.15
Si: 0.5741 0.1481 0.4470  1 Si 2.33, 2 Au 2.50
Si: 0.4259 0.8519 0.9470  1 Si 2.33, 2 Au 2.50
Si: 0.5741 0.1481 0.0530  1 Si 2.33, 2 Au 2.50
Si: 0.4259 0.8519 0.5530  1 Si 2.33, 2 Au 2.50
Si: 0.2976 0.5951 0.2500  2 Au 2.63
Si: 0.7024 0.4049 0.7500  2 Au 2.63
Au: 0.8443 0.6887 0.8857  3 Si 2.50-2.63
Au: 0.1557 0.3113 0.3857  3 Si 2.50-2.63
Au: 0.8443 0.6887 0.6143  3 Si 2.50-2.63
Au: 0.1557 0.3113 0.1143  3 Si 2.50-2.63



[3]
A plane-wave DFT calculation with PBE-GGA was carried out for a relaxed ThSi2Au5 crystal.

Uncorrected formation energy (eV per atom): -0.312
DFT total energy (eV/atom): -4.64
D(E_F) (states/eV/atom): 0.4025
Crystal system: orthorhombic

Lattice parameters (Å, degrees): 4.2749 6.5497 6.5497 67.14 70.95 70.95
Last column: nearest neighbours and their distance in Å.
Fractional coordinates of all 8 atoms:
Th: 0.0000 0.0000 0.0000  4 Si 3.32, 10 Au 3.36-3.62
Si: 0.7535 0.7465 0.7465  3 Au 2.41-2.48
Si: 0.2465 0.2535 0.2535  3 Au 2.41-2.48
Au: 0.0000 0.5000 0.5000  2 Si 2.48
Au: 0.6447 0.5594 0.1512  1 Si 2.41
Au: 0.3553 0.4406 0.8488  1 Si 2.41
Au: 0.3553 0.8488 0.4406  1 Si 2.41
Au: 0.6447 0.1512 0.5594  1 Si 2.41



[4]
A plane-wave DFT calculation with PBE-GGA was carried out for a relaxed Th2Si3Au crystal.

Uncorrected formation energy (eV per atom): -0.750
DFT total energy (eV/atom): -6.48
D(E_F) (states/eV/atom): 0.4157
Crystal system: orthorhombic

Lattice parameters (Å, degrees): 7.7275 7.7275 7.7275 148.15 148.02 45.76
Last column: nearest neighbours and their distance in Å.
Fractional coordinates of all 6 atoms:
Th: 0.7584 0.2584 0.5000  8 Si 3.08-3.30, 4 Au 3.28
Th: 0.9933 0.9933 0.0000  10 Si 3.08-3.25, 2 Au 3.24
Si: 0.5805 0.5805 0.0000  1 Si 2.36, 2 Au 2.45
Si: 0.3373 0.8373 0.5000  2 Si 2.39, 1 Au 2.45
Si: 0.4149 0.4149 0.0000  3 Si 2.36-2.39
Au: 0.1654 0.6654 0.5000  3 Si 2.45



[5]
A plane-wave DFT calculation with PBE-GGA was carried out for a relaxed Th2Si3Au6 crystal.

Uncorrected formation energy (eV per atom): -0.506
DFT total energy (eV/atom): -5.12
D(E_F) (states/eV/atom): 0.6073
Crystal system: hexagonal

Lattice parameters (Å, degrees): 4.3531 7.7030 7.7030 120.00 90.00 90.00
Last column: nearest neighbours and their distance in Å.
Fractional coordinates of all 11 atoms:
Th: 0.0000 0.6667 0.3333  9 Au 3.14-3.38, 6 Si 3.31
Th: 0.0000 0.3333 0.6667  9 Au 3.14-3.38, 6 Si 3.31
Si: 0.5000 0.3550 0.3550  5 Au 2.44-2.63
Si: 0.5000 0.6450 0.0000  5 Au 2.44-2.63
Si: 0.5000 0.0000 0.6450  5 Au 2.44-2.63
Au: 0.5000 0.6729 0.6729  3 Si 2.45-2.63
Au: 0.5000 0.0000 0.3271  3 Si 2.45-2.63
Au: 0.0000 0.2122 0.2122  2 Si 2.44
Au: 0.0000 0.7878 0.0000  2 Si 2.44
Au: 0.5000 0.3271 0.0000  3 Si 2.45-2.63
Au: 0.0000 0.0000 0.7878  2 Si 2.44



[6]
A plane-wave DFT calculation with PBE-GGA was carried out for a relaxed Th2SiAu crystal.

Uncorrected formation energy (eV per atom): -0.644
DFT total energy (eV/atom): -6.53
Relative energy among the computed polymorphs (eV per atom): 0.000
D(E_F) (states/eV/atom): 1.0768
Crystal system: monoclinic

Lattice parameters (Å, degrees): 4.1606 6.1038 8.6068 111.21 90.00 90.00
Last column: nearest neighbours and their distance in Å.
Fractional coordinates of all 8 atoms:
Th: 0.7500 0.2054 0.4232  4 Si 3.08-3.38, 3 Au 3.11-3.26
Th: 0.2500 0.7946 0.5768  4 Si 3.08-3.38, 3 Au 3.11-3.26
Th: 0.2500 0.7874 0.0696  3 Si 3.09-3.32, 4 Au 3.10-3.28
Th: 0.7500 0.2126 0.9304  3 Si 3.09-3.32, 4 Au 3.10-3.28
Si: 0.7500 0.6642 0.2908  2 Au 2.70
Si: 0.2500 0.3358 0.7092  2 Au 2.70
Au: 0.2500 0.3630 0.2164  2 Si 2.70
Au: 0.7500 0.6370 0.7836  2 Si 2.70



[7]
A plane-wave DFT calculation with PBE-GGA was carried out for a relaxed Ti5Si2Au2 crystal.

Uncorrected formation energy (eV per atom): -0.550
DFT total energy (eV/atom): -6.87
D(E_F) (states/eV/atom): 1.0631
Crystal system: orthorhombic

Lattice parameters (Å, degrees): 6.5057 6.5610 7.7385 90.00 65.14 90.00
Last column: nearest neighbours and their distance in Å.
Fractional coordinates of all 18 atoms:
Ti: 0.0000 0.0000 0.0000  4 Si 2.57
Ti: 0.5000 0.5000 0.0000  4 Si 2.57
Ti: 0.4447 0.1701 0.7528  3 Si 2.52-2.65, 3 Au 2.71-2.79
Ti: 0.8025 0.8299 0.7528  3 Si 2.52-2.65, 3 Au 2.71-2.79
Ti: 0.3025 0.6701 0.7528  3 Si 2.52-2.65, 3 Au 2.71-2.79
Ti: 0.9447 0.3299 0.7528  3 Si 2.52-2.65, 3 Au 2.71-2.79
Ti: 0.5553 0.8299 0.2472  3 Si 2.52-2.65, 3 Au 2.71-2.79
Ti: 0.1975 0.1701 0.2472  3 Si 2.52-2.65, 3 Au 2.71-2.79
Ti: 0.6975 0.3299 0.2472  3 Si 2.52-2.65, 3 Au 2.71-2.79
Ti: 0.0553 0.6701 0.2472  3 Si 2.52-2.65, 3 Au 2.71-2.79
Si: 0.1264 0.3716 0.0000  1 Si 2.36, 4 Ti 2.52-2.57
Si: 0.8736 0.6284 0.0000  1 Si 2.36, 4 Ti 2.52-2.57
Si: 0.3736 0.8716 0.0000  1 Si 2.36, 4 Ti 2.52-2.57
Si: 0.6264 0.1284 0.0000  1 Si 2.36, 4 Ti 2.52-2.57
Au: 0.2179 0.0000 0.5643  6 Ti 2.71-2.79
Au: 0.7179 0.5000 0.5643  6 Ti 2.71-2.79
Au: 0.7821 0.0000 0.4357  6 Ti 2.71-2.79
Au: 0.2821 0.5000 0.4357  6 Ti 2.71-2.79



[8]
A plane-wave DFT calculation with PBE-GGA was carried out for a relaxed Ti2SiAu2 crystal.

Uncorrected formation energy (eV per atom): -0.180
DFT total energy (eV/atom): -5.73
Relative energy among the computed polymorphs (eV per atom): 0.000
D(E_F) (states/eV/atom): 0.4313
Crystal system: tetragonal

Lattice parameters (Å, degrees): 6.6116 6.6116 3.9922 90.00 90.00 90.00
Last column: nearest neighbours and their distance in Å.
Fractional coordinates of all 10 atoms:
Si: 0.0000 0.0000 0.0000  4 Au 2.54
Si: 0.5000 0.5000 0.0000  4 Au 2.54
Au: 0.3560 0.8560 0.0000  2 Si 2.54, 2 Ti 2.69, 1 Au 2.69
Au: 0.8560 0.6440 0.0000  2 Si 2.54, 2 Ti 2.69, 1 Au 2.69
Au: 0.6440 0.1440 0.0000  2 Si 2.54, 2 Ti 2.69, 1 Au 2.69
Au: 0.1440 0.3560 0.0000  2 Si 2.54, 2 Ti 2.69, 1 Au 2.69
Ti: 0.1635 0.6635 0.5000  6 Au 2.69-2.85
Ti: 0.6635 0.8365 0.5000  6 Au 2.69-2.85
Ti: 0.8365 0.3365 0.5000  6 Au 2.69-2.85
Ti: 0.3365 0.1635 0.5000  6 Au 2.69-2.85



[9]
A plane-wave DFT calculation with PBE-GGA was carried out for a relaxed TiSi2Au2 crystal.

Uncorrected formation energy (eV per atom): 0.080
DFT total energy (eV/atom): -4.98
Relative energy among the computed polymorphs (eV per atom): 0.098
D(E_F) (states/eV/atom): 0.9457
Crystal system: tetragonal

Lattice parameters (Å, degrees): 3.7965 3.7965 6.6596 73.44 73.44 90.00
Last column: nearest neighbours and their distance in Å.
Fractional coordinates of all 5 atoms:
Si: 0.7500 0.2500 0.5000  4 Au 2.56, 4 Si 2.68
Si: 0.2500 0.7500 0.5000  4 Au 2.56, 4 Si 2.68
Au: 0.3904 0.3904 0.2192  4 Si 2.56, 1 Au 2.67
Au: 0.6096 0.6096 0.7808  4 Si 2.56, 1 Au 2.67
Ti: 0.0000 0.0000 0.0000  8 Au 3.00



[10]
A plane-wave DFT calculation with PBE-GGA was carried out for a relaxed TiSi2Au2 crystal.

Uncorrected formation energy (eV per atom): -0.018
DFT total energy (eV/atom): -5.08
Relative energy among the computed polymorphs (eV per atom): 0.000
D(E_F) (states/eV/atom): 0.3229
Crystal system: tetragonal

Lattice parameters (Å, degrees): 7.1352 7.1352 3.2570 90.00 90.00 90.00
Last column: nearest neighbours and their distance in Å.
Fractional coordinates of all 10 atoms:
Si: 0.3465 0.8465 0.0000  6 Au 2.56-2.71, 2 Ti 2.70
Si: 0.8465 0.6535 0.0000  6 Au 2.56-2.71, 2 Ti 2.70
Si: 0.6535 0.1535 0.0000  6 Au 2.56-2.71, 2 Ti 2.70
Si: 0.1535 0.3465 0.0000  6 Au 2.56-2.71, 2 Ti 2.70
Au: 0.1503 0.6503 0.5000  6 Si 2.56-2.71
Au: 0.6503 0.8497 0.5000  6 Si 2.56-2.71
Au: 0.8497 0.3497 0.5000  6 Si 2.56-2.71
Au: 0.3497 0.1503 0.5000  6 Si 2.56-2.71
Ti: 0.0000 0.0000 0.0000  4 Si 2.70
Ti: 0.5000 0.5000 0.0000  4 Si 2.70